# 1
An optimized crystal structure of Cd. Source: Alexandria, functional GGA-PBEsol.

The structure in POSCAR format:
```
Cd
1.0
-1.5106 1.5106 4.9579
1.5106 -1.5106 4.9579
1.5106 1.5106 -4.9579
Cd
2
direct
0.1400 0.1400 0.0000
0.8600 0.8600 0.0000
```

Computed properties:
DOS at the Fermi energy: 0.364 states/eV per atom
Formation energy from the elements: 0.1 eV/f.u.
Relative energy among the computed polymorphs: 0.090 eV/atom
Total moment: 0.00 μB/f.u.

=====

# 2
An optimized crystal structure of Cd. Source: Alexandria, functional GGA-PBEsol.

The structure in POSCAR format:
```
Cd
1.0
1.5970 0.9220 2.3700
-1.5970 0.9220 2.3700
0.0000 -1.8441 2.3700
Cd
1
direct
0.0000 0.0000 0.0000
```

Computed properties:
DOS at the Fermi energy: 0.352 states/eV per atom
Formation energy from the elements: 0.0 eV/f.u.
Relative energy among the computed polymorphs: 0.010 eV/atom
Total moment: 0.00 μB/f.u.

=====

# 3
An optimized crystal structure of Cd. Source: Alexandria, functional GGA-PBEsol.

The structure in POSCAR format:
```
Cd
1.0
4.9823 0.0000 0.0000
-2.4912 4.3148 0.0000
0.0000 0.0000 2.9817
Cd
3
direct
0.0000 0.0000 0.0000
0.3333 0.6667 0.5000
0.6667 0.3333 0.5000
```

Computed properties:
DOS at the Fermi energy: 0.463 states/eV per atom
Formation energy from the elements: 0.1 eV/f.u.
Relative energy among the computed polymorphs: 0.083 eV/atom
Total moment: 0.00 μB/f.u.

=====

# 4
An optimized crystal structure of Cd. Source: Alexandria, functional GGA-PBEsol.

The structure in POSCAR format:
```
Cd
1.0
-1.9266 1.9266 1.4364
1.9266 -1.9266 1.4364
1.9266 1.9266 -1.4364
Cd
1
direct
0.0000 0.0000 0.0000
```

Computed properties:
DOS at the Fermi energy: 0.261 states/eV per atom
Formation energy from the elements: 0.0 eV/f.u.
Relative energy among the computed polymorphs: 0.006 eV/atom
Total moment: 0.00 μB/f.u.

=====

# 5
An optimized crystal structure of Cd. Source: Alexandria, functional GGA-PBEsol.

The structure in POSCAR format:
```
Cd
1.0
2.5686 -1.4842 0.0000
2.5686 1.4842 0.0000
-1.6594 0.0000 8.1891
Cd
3
direct
0.0000 0.0000 0.0000
0.2204 0.2204 0.6662
0.7796 0.7796 0.3338
```

Computed properties:
DOS at the Fermi energy: 0.365 states/eV per atom
Formation energy from the elements: 0.0 eV/f.u.
Relative energy among the computed polymorphs: 0.005 eV/atom
Total moment: 0.00 μB/f.u.

=====

# 6
An optimized crystal structure of CeCd11. Source: Alexandria, functional GGA-PBEsol.

The structure in POSCAR format:
```
CeCd11
1.0
9.2122 0.0000 0.0000
0.0000 9.2122 0.0000
0.0000 0.0000 9.2122
Ce Cd
3 33
direct
0.0000 0.0000 0.5000
0.0000 0.5000 0.0000
0.5000 0.0000 0.0000
0.0000 0.3450 0.3450
0.0000 0.3450 0.6550
0.0000 0.6550 0.3450
0.0000 0.6550 0.6550
0.1569 0.1569 0.1569
0.1569 0.1569 0.8431
0.1569 0.8431 0.1569
0.1569 0.8431 0.8431
0.2657 0.2657 0.5000
0.2657 0.5000 0.2657
0.2657 0.5000 0.7343
0.2657 0.7343 0.5000
0.3450 0.0000 0.3450
0.3450 0.0000 0.6550
0.3450 0.3450 0.0000
0.3450 0.6550 0.0000
0.5000 0.2657 0.2657
0.5000 0.2657 0.7343
0.5000 0.5000 0.5000
0.5000 0.7343 0.2657
0.5000 0.7343 0.7343
0.6550 0.0000 0.3450
0.6550 0.0000 0.6550
0.6550 0.3450 0.0000
0.6550 0.6550 0.0000
0.7343 0.2657 0.5000
0.7343 0.5000 0.2657
0.7343 0.5000 0.7343
0.7343 0.7343 0.5000
0.8431 0.1569 0.1569
0.8431 0.1569 0.8431
0.8431 0.8431 0.1569
0.8431 0.8431 0.8431
```

Computed properties:
DOS at the Fermi energy: 0.764 states/eV per atom
Formation energy from the elements: -1.6 eV/f.u.
Total moment: 0.83 μB/f.u.

=====

# 7
An optimized crystal structure of Ce3Cd. Source: Alexandria, functional GGA-PBEsol.

The structure in POSCAR format:
```
Ce3Cd
1.0
-2.3038 2.3038 4.6860
2.3038 -2.3038 4.6860
2.3038 2.3038 -4.6860
Ce Cd
3 1
direct
0.0000 0.0000 0.0000
0.2500 0.7500 0.5000
0.7500 0.2500 0.5000
0.5000 0.5000 0.0000
```

Computed properties:
DOS at the Fermi energy: 2.924 states/eV per atom
Formation energy from the elements: 0.1 eV/f.u.
Total moment: 1.34 μB/f.u.

=====

# 8
An optimized crystal structure of CeEuCd2. Source: Alexandria, functional GGA-PBEsol.

The structure in POSCAR format:
```
CeEuCd2
1.0
0.0000 3.7905 3.7905
3.7905 0.0000 3.7905
3.7905 3.7905 0.0000
Ce Eu Cd
1 1 2
direct
0.0000 0.0000 0.0000
0.5000 0.5000 0.5000
0.2500 0.2500 0.2500
0.7500 0.7500 0.7500
```

Computed properties:
DOS at the Fermi energy: 2.604 states/eV per atom
Formation energy from the elements: -0.7 eV/f.u.
Total moment: 8.16 μB/f.u.